## FeSn3B (PBE)

Data for crystalline FeSn3B at its relaxed geometry.

Values from the calculation:
ΔE_f: 0.97 eV per atom
calculated volume: 105.2 Å³/cell
magnetic moment: 2.92 μB/f.u.
E above lowest polymorph: 0.004 eV/atom

a b c (Å): 4.720 4.720 4.720
angles (deg): 90.00 90.00 90.00
Positions (direct):
Fe: 0.000 0.000 0.000
Sn: 0.000 0.500 0.500
Sn: 0.500 0.000 0.500
Sn: 0.500 0.500 0.000
B: 0.500 0.500 0.500

---

## LaMgTe2 (PBE)

Data for crystalline LaMgTe2 at its relaxed geometry.

Values from the calculation:
calculated volume: 118.4 Å³/cell
uncorrected formation energy: -0.949 eV per atom
magnetic moment: 0.00 μB/f.u.

a b c (Å): 6.724 6.724 6.724
angles (deg): 141.20 141.20 56.04
Positions (direct):
La: 0.000 0.000 0.000
Mg: 0.250 0.750 0.500
Te: 0.500 0.500 0.000
Te: 0.750 0.250 0.500

---

## La2InS (PBE)

Data for crystalline La2InS at its relaxed geometry.

Values from the calculation:
calculated volume: 111.6 Å³/cell
uncorrected formation energy: -0.777 eV per atom
magnetic moment: 0.00 μB/f.u.
E above lowest polymorph: 0.459 eV/atom

a b c (Å): 5.404 5.404 5.404
angles (deg): 60.00 60.00 60.00
Positions (direct):
La: 0.250 0.250 0.250
La: 0.750 0.750 0.750
In: 0.000 0.000 0.000
S: 0.500 0.500 0.500

---

## CaBe2As2 (PBE)

Data for crystalline CaBe2As2 at its relaxed geometry.

Values from the calculation:
ΔE_f: -0.55 eV per atom
calculated volume: 87.8 Å³/cell
magnetic moment: 0.00 μB/f.u.

a b c (Å): 6.842 6.842 6.842
angles (deg): 148.37 148.37 45.34
Positions (direct):
Ca: 0.000 0.000 0.000
Be: 0.250 0.750 0.500
Be: 0.750 0.250 0.500
As: 0.359 0.359 0.000
As: 0.641 0.641 0.000

---

## Sr3Ac3TmTe8 (PBE)

Data for crystalline Sr3Ac3TmTe8 at its relaxed geometry.

Values from the calculation:
calculated volume: 588.8 Å³/cell
uncorrected formation energy: -1.575 eV per atom
magnetic moment: 0.00 μB/f.u.

a b c (Å): 9.456 9.456 9.456
angles (deg): 59.33 59.33 59.33
Positions (direct):
Sr: 0.000 0.500 0.500
Sr: 0.500 0.000 0.500
Sr: 0.500 0.500 0.000
Ac: 0.000 0.000 0.500
Ac: 0.000 0.500 0.000
Ac: 0.500 0.000 0.000
Tm: 0.500 0.500 0.500
Te: 0.252 0.252 0.252
Te: 0.265 0.265 0.734
Te: 0.265 0.734 0.265
Te: 0.266 0.735 0.735
Te: 0.734 0.265 0.265
Te: 0.735 0.266 0.735
Te: 0.735 0.735 0.266
Te: 0.748 0.748 0.748

---

## NaSn (PBE)

Data for crystalline NaSn at its relaxed geometry.

Values from the calculation:
ΔE_f: -0.15 eV per atom
calculated volume: 468.4 Å³/cell
magnetic moment: 0.00 μB/f.u.

a b c (Å): 8.930 5.512 9.515
angles (deg): 90.00 90.00 90.00
Positions (direct):
Na: 0.107 0.250 0.223
Na: 0.174 0.750 0.024
Na: 0.326 0.250 0.524
Na: 0.393 0.750 0.723
Na: 0.607 0.250 0.277
Na: 0.674 0.750 0.476
Na: 0.826 0.250 0.976
Na: 0.893 0.750 0.777
Sn: 0.025 0.750 0.416
Sn: 0.154 0.250 0.849
Sn: 0.346 0.750 0.349
Sn: 0.475 0.250 0.916
Sn: 0.525 0.750 0.084
Sn: 0.654 0.250 0.651
Sn: 0.846 0.750 0.151
Sn: 0.975 0.250 0.584

---

## Ac4PmCd (PBE)

Data for crystalline Ac4PmCd at its relaxed geometry.

Values from the calculation:
ΔE_f: 0.28 eV per atom
calculated volume: 268.0 Å³/cell
magnetic moment: 0.00 μB/f.u.
E above lowest polymorph: 0.364 eV/atom

a b c (Å): 5.757 5.757 8.084
angles (deg): 90.00 90.00 90.00
Positions (direct):
Ac: 0.000 0.500 0.243
Ac: 0.000 0.500 0.757
Ac: 0.500 0.000 0.243
Ac: 0.500 0.000 0.757
Pm: 0.000 0.000 0.500
Cd: 0.500 0.500 0.000

---

## GaTe2I (PBE)

Data for crystalline GaTe2I at its relaxed geometry.

Values from the calculation:
calculated volume: 740.7 Å³/cell
uncorrected formation energy: -0.239 eV per atom
magnetic moment: 0.00 μB/f.u.
E above lowest polymorph: 0.000 eV/atom

a b c (Å): 8.228 5.675 15.991
angles (deg): 90.00 97.28 90.00
Positions (direct):
Ga: 0.182 0.041 0.067
Ga: 0.182 0.459 0.567
Ga: 0.818 0.541 0.433
Ga: 0.818 0.959 0.933
Te: 0.086 0.678 0.959
Te: 0.086 0.822 0.459
Te: 0.389 0.168 0.964
Te: 0.389 0.332 0.464
Te: 0.611 0.668 0.536
Te: 0.611 0.832 0.036
Te: 0.914 0.178 0.541
Te: 0.914 0.322 0.041
I: 0.271 0.595 0.717
I: 0.271 0.905 0.217
I: 0.729 0.095 0.783
I: 0.729 0.405 0.283